No. 1
# PBE-GGA CdW, optimized geometry
data_CdW
_chemical_formula_sum 'Cd4 W4'
_symmetry_space_group_name_H-M 'C m c m'
_symmetry_Int_Tables_number 63
_symmetry_space_group_name_Hall '-C 2c 2'
_cell_length_a 2.751
_cell_length_b 11.760
_cell_length_c 4.493
_cell_angle_alpha 90.00
_cell_angle_beta 90.00
_cell_angle_gamma 90.00
loop_
_atom_site_label
_atom_site_type_symbol
_atom_site_fract_x
_atom_site_fract_y
_atom_site_fract_z
Cd1 Cd 0.000 0.064 0.250
W1 W 0.000 0.303 0.250
# - Magnetization: 0.000 μB per cell
# - Crystal system: orthorhombic
# - Excess energy over the best structure of this formula in the dataset: 171 meV per atom
# - Calculated formation energy: 0.6322 eV/atom

=====

No. 2
# PBE-GGA CdW7, optimized geometry
data_CdW7
_chemical_formula_sum 'Cd4 W28'
_symmetry_space_group_name_H-M 'F m -3 m'
_symmetry_Int_Tables_number 225
_symmetry_space_group_name_Hall '-F 4 2 3'
_cell_length_a 8.101
_cell_length_b 8.101
_cell_length_c 8.101
_cell_angle_alpha 90.00
_cell_angle_beta 90.00
_cell_angle_gamma 90.00
loop_
_atom_site_label
_atom_site_type_symbol
_atom_site_fract_x
_atom_site_fract_y
_atom_site_fract_z
Cd1 Cd 0.000 0.000 0.000
W1 W 0.000 0.000 0.500
W2 W 0.000 0.250 0.250
# - Magnetization: 0.000 μB per cell
# - Crystal system: cubic
# - Calculated formation energy: 0.5142 eV/atom

=====

No. 3
# PBE-GGA Cd8W, optimized geometry
data_Cd8W
_chemical_formula_sum 'Cd16 W2'
_symmetry_space_group_name_H-M 'I 4/m m m'
_symmetry_Int_Tables_number 139
_symmetry_space_group_name_Hall '-I 4 2'
_cell_length_a 11.208
_cell_length_b 11.208
_cell_length_c 3.021
_cell_angle_alpha 90.00
_cell_angle_beta 90.00
_cell_angle_gamma 90.00
loop_
_atom_site_label
_atom_site_type_symbol
_atom_site_fract_x
_atom_site_fract_y
_atom_site_fract_z
Cd1 Cd 0.000 0.334 0.000
Cd2 Cd 0.161 0.161 0.500
W1 W 0.000 0.000 0.000
# - Magnetization: 0.006 μB per cell
# - Crystal system: tetragonal
# - Calculated formation energy: 0.2920 eV/atom

=====

No. 4
# PBE-GGA CdW, optimized geometry
data_CdW
_chemical_formula_sum 'Cd4 W4'
_symmetry_space_group_name_H-M 'F m -3 m'
_symmetry_Int_Tables_number 225
_symmetry_space_group_name_Hall '-F 4 2 3'
_cell_length_a 5.463
_cell_length_b 5.463
_cell_length_c 5.463
_cell_angle_alpha 90.00
_cell_angle_beta 90.00
_cell_angle_gamma 90.00
loop_
_atom_site_label
_atom_site_type_symbol
_atom_site_fract_x
_atom_site_fract_y
_atom_site_fract_z
Cd1 Cd 0.000 0.000 0.000
W1 W 0.000 0.000 0.500
# - Magnetization: 0.000 μB per cell
# - Crystal system: cubic
# - Excess energy over the best structure of this formula in the dataset: 1475 meV per atom
# - Calculated formation energy: 1.9365 eV/atom

=====

No. 5
# PBE-GGA CdW, optimized geometry
data_CdW
_chemical_formula_sum 'Cd4 W4'
_symmetry_space_group_name_H-M 'I 41/a m d'
_symmetry_Int_Tables_number 141
_cell_length_a 4.289
_cell_length_b 4.289
_cell_length_c 7.756
_cell_angle_alpha 90.00
_cell_angle_beta 90.00
_cell_angle_gamma 90.00
loop_
_symmetry_equiv_pos_as_xyz
'x,y,z'
'-x,-y,-z'
'-y+1/4,x+3/4,z+1/4'
'y+1/4,-x+3/4,-z+1/4'
'-x+1/2,-y,z+1/2'
'x+1/2,y,-z+1/2'
'y+1/4,-x+1/4,z+3/4'
'-y+1/4,x+1/4,-z+3/4'
'x,-y,-z'
'-x,y,z'
'-y+1/4,-x+1/4,-z+3/4'
'y+1/4,x+1/4,z+3/4'
'-x+1/2,y,-z+1/2'
'x+1/2,-y,z+1/2'
'y+1/4,x+3/4,-z+1/4'
'-y+1/4,-x+3/4,z+1/4'
'x+1/2,y+1/2,z+1/2'
'-x+1/2,-y+1/2,-z+1/2'
'-y+3/4,x+1/4,z+3/4'
'y+3/4,-x+1/4,-z+3/4'
'-x,-y+1/2,z'
'x,y+1/2,-z'
'y+3/4,-x+3/4,z+1/4'
'-y+3/4,x+3/4,-z+1/4'
'x+1/2,-y+1/2,-z+1/2'
'-x+1/2,y+1/2,z+1/2'
'-y+3/4,-x+3/4,-z+1/4'
'y+3/4,x+3/4,z+1/4'
'-x,y+1/2,-z'
'x,-y+1/2,z'
'y+3/4,x+1/4,-z+3/4'
'-y+3/4,-x+1/4,z+3/4'
loop_
_atom_site_label
_atom_site_type_symbol
_atom_site_fract_x
_atom_site_fract_y
_atom_site_fract_z
Cd1 Cd 0.000 0.250 0.375
W1 W 0.000 0.250 0.875
# - Magnetization: 0.000 μB per cell
# - Crystal system: tetragonal
# - Excess energy over the best structure of this formula in the dataset: 309 meV per atom
# - Calculated formation energy: 0.7704 eV/atom

=====

No. 6
# PBE-GGA Cd4W, optimized geometry
data_Cd4W
_chemical_formula_sum 'Cd4 W1'
_symmetry_space_group_name_H-M 'P m -3 m'
_symmetry_Int_Tables_number 221
_symmetry_space_group_name_Hall '-P 4 2 3'
_cell_length_a 5.459
_cell_length_b 5.459
_cell_length_c 5.459
_cell_angle_alpha 90.00
_cell_angle_beta 90.00
_cell_angle_gamma 90.00
loop_
_atom_site_label
_atom_site_type_symbol
_atom_site_fract_x
_atom_site_fract_y
_atom_site_fract_z
Cd1 Cd 0.000 0.000 0.000
Cd2 Cd 0.000 0.500 0.500
W1 W 0.500 0.500 0.500
# - Magnetization: 3.268 μB per cell
# - Crystal system: cubic
# - Excess energy over the best structure of this formula in the dataset: 254 meV per atom
# - Calculated formation energy: 1.1605 eV/atom

=====

No. 7
# PBE-GGA CdW, optimized geometry
data_CdW
_chemical_formula_sum 'Cd1 W1'
_symmetry_space_group_name_H-M 'P -6 m 2'
_symmetry_Int_Tables_number 187
_symmetry_space_group_name_Hall 'P -6 2'
_cell_length_a 2.8849
_cell_length_b 2.8849
_cell_length_c 4.9951
_cell_angle_alpha 90.00
_cell_angle_beta 90.00
_cell_angle_gamma 120.00
loop_
_atom_site_label
_atom_site_type_symbol
_atom_site_fract_x
_atom_site_fract_y
_atom_site_fract_z
Cd1 Cd 0.0000 0.0000 0.0000
W1 W 0.3333 0.6667 0.5000
# - Magnetization: 0.000 μB per cell
# - Crystal system: hexagonal
# - Excess energy over the best structure of this formula in the dataset: 220 meV per atom
# - Calculated formation energy: 0.6812 eV/atom

=====

No. 8
# PBE-GGA Cd3W5, optimized geometry
data_Cd3W5
_chemical_formula_sum 'Cd6 W10'
_symmetry_space_group_name_H-M 'C m m m'
_symmetry_Int_Tables_number 65
_symmetry_space_group_name_Hall '-C 2 2'
_cell_length_a 8.867
_cell_length_b 9.262
_cell_length_c 3.384
_cell_angle_alpha 90.00
_cell_angle_beta 90.00
_cell_angle_gamma 90.00
loop_
_atom_site_label
_atom_site_type_symbol
_atom_site_fract_x
_atom_site_fract_y
_atom_site_fract_z
Cd1 Cd 0.000 0.000 0.000
Cd2 Cd 0.245 0.000 0.500
W1 W 0.000 0.266 0.500
W2 W 0.000 0.500 0.000
W3 W 0.250 0.250 0.000
# - Magnetization: 0.000 μB per cell
# - Crystal system: orthorhombic
# - Excess energy over the best structure of this formula in the dataset: 0 meV per atom
# - Calculated formation energy: 0.6157 eV/atom

=====

No. 9
# PBE-GGA CdW, optimized geometry
data_CdW
_chemical_formula_sum 'Cd1 W1'
_symmetry_space_group_name_H-M 'P 4/m m m'
_symmetry_Int_Tables_number 123
_symmetry_space_group_name_Hall '-P 4 2'
_cell_length_a 2.762
_cell_length_b 2.762
_cell_length_c 4.694
_cell_angle_alpha 90.00
_cell_angle_beta 90.00
_cell_angle_gamma 90.00
loop_
_atom_site_label
_atom_site_type_symbol
_atom_site_fract_x
_atom_site_fract_y
_atom_site_fract_z
Cd1 Cd 0.000 0.000 0.000
W1 W 0.500 0.500 0.500
# - Magnetization: 0.000 μB per cell
# - Crystal system: tetragonal
# - Excess energy over the best structure of this formula in the dataset: 240 meV per atom
# - Calculated formation energy: 0.7011 eV/atom

=====

No. 10
# PBE-GGA Cd7W, optimized geometry
data_Cd7W
_chemical_formula_sum 'Cd28 W4'
_symmetry_space_group_name_H-M 'F m -3 m'
_symmetry_Int_Tables_number 225
_symmetry_space_group_name_Hall '-F 4 2 3'
_cell_length_a 8.683
_cell_length_b 8.683
_cell_length_c 8.683
_cell_angle_alpha 90.00
_cell_angle_beta 90.00
_cell_angle_gamma 90.00
loop_
_atom_site_label
_atom_site_type_symbol
_atom_site_fract_x
_atom_site_fract_y
_atom_site_fract_z
Cd1 Cd 0.000 0.000 0.000
Cd2 Cd 0.000 0.250 0.250
W1 W 0.000 0.000 0.500
# - Magnetization: 0.003 μB per cell
# - Crystal system: cubic
# - Calculated formation energy: 0.2856 eV/atom

=====

No. 11
# PBE-GGA Cd5W, optimized geometry
data_Cd5W
_chemical_formula_sum 'Cd5 W1'
_symmetry_space_group_name_H-M 'P 6/m m m'
_symmetry_Int_Tables_number 191
_symmetry_space_group_name_Hall '-P 6 2'
_cell_length_a 5.5531
_cell_length_b 5.5531
_cell_length_c 5.0068
_cell_angle_alpha 90.00
_cell_angle_beta 90.00
_cell_angle_gamma 120.00
loop_
_atom_site_label
_atom_site_type_symbol
_atom_site_fract_x
_atom_site_fract_y
_atom_site_fract_z
Cd1 Cd 0.0000 0.5000 0.0000
Cd2 Cd 0.3333 0.6667 0.5000
W1 W 0.0000 0.0000 0.5000
# - Magnetization: 3.083 μB per cell
# - Crystal system: hexagonal
# - Excess energy over the best structure of this formula in the dataset: 487 meV per atom
# - Calculated formation energy: 0.8436 eV/atom

=====

No. 12
# PBE-GGA Cd5W, optimized geometry
data_Cd5W
_chemical_formula_sum 'Cd10 W2'
_symmetry_space_group_name_H-M 'A m m 2'
_symmetry_Int_Tables_number 38
_cell_length_a 5.070
_cell_length_b 2.981
_cell_length_c 16.106
_cell_angle_alpha 90.00
_cell_angle_beta 90.00
_cell_angle_gamma 90.00
loop_
_symmetry_equiv_pos_as_xyz
'x,y,z'
'-x,-y,z'
'-x,y,z'
'x,-y,z'
'x,y+1/2,z+1/2'
'-x,-y+1/2,z+1/2'
'-x,y+1/2,z+1/2'
'x,-y+1/2,z+1/2'
loop_
_atom_site_label
_atom_site_type_symbol
_atom_site_fract_x
_atom_site_fract_y
_atom_site_fract_z
Cd1 Cd 0.000 0.000 0.000
Cd2 Cd 0.000 0.000 0.321
Cd3 Cd 0.500 0.000 0.212
Cd4 Cd 0.500 0.000 0.555
Cd5 Cd 0.500 0.000 0.884
W1 W 0.000 0.000 0.660
# - Magnetization: 0.000 μB per cell
# - Crystal system: orthorhombic
# - Excess energy over the best structure of this formula in the dataset: 26 meV per atom
# - Calculated formation energy: 0.3830 eV/atom

=====

No. 13
# PBE-GGA Cd5W3, optimized geometry
data_Cd5W3
_chemical_formula_sum 'Cd20 W12'
_symmetry_space_group_name_H-M 'C 1 2/m 1'
_symmetry_Int_Tables_number 12
_cell_length_a 5.313
_cell_length_b 11.046
_cell_length_c 10.754
_cell_angle_alpha 90.00
_cell_angle_beta 95.25
_cell_angle_gamma 90.00
loop_
_symmetry_equiv_pos_as_xyz
'x,y,z'
'-x,-y,-z'
'-x,y,-z'
'x,-y,z'
'x+1/2,y+1/2,z'
'-x+1/2,-y+1/2,-z'
'-x+1/2,y+1/2,-z'
'x+1/2,-y+1/2,z'
loop_
_atom_site_label
_atom_site_type_symbol
_atom_site_fract_x
_atom_site_fract_y
_atom_site_fract_z
Cd1 Cd 0.190 0.129 0.196
Cd2 Cd 0.210 0.369 0.291
Cd3 Cd 0.239 0.000 0.448
W1 W 0.000 0.253 0.500
W2 W 0.000 0.306 0.000
W3 W 0.238 0.000 0.950
# - Magnetization: 0.000 μB per cell
# - Crystal system: monoclinic
# - Excess energy over the best structure of this formula in the dataset: 46 meV per atom
# - Calculated formation energy: 0.6520 eV/atom

=====

Computed electronic total energy, in the same sequence as the records: -6.302 -10.934 -1.961 -4.998 -6.164 -2.162 -6.253 -7.823 -6.233 -2.134 -2.078 -2.538 -4.777 eV per atom.